(1)
{"formula": "ScBW3", "functional": "PBE", "state": "relaxed", "lattice_angstrom": [[4.574, 0.000, 0.000], [0.000, 4.574, 0.000], [0.000, 0.000, 4.574]], "species": ["Sc", "B", "W", "W", "W"], "fractional_positions": [[0.000, 0.000, 0.000], [0.500, 0.500, 0.500], [0.000, 0.000, 0.500], [0.000, 0.500, 0.000], [0.500, 0.000, 0.000]], "dos_at_fermi_per_ev_atom": 0.75}

=====

(2)
{"formula": "ScBW3", "functional": "PBE", "state": "relaxed", "lattice_angstrom": [[4.290, 0.000, 0.000], [0.000, 4.290, 0.000], [0.000, 0.000, 4.290]], "species": ["Sc", "B", "W", "W", "W"], "fractional_positions": [[0.000, 0.000, 0.000], [0.500, 0.500, 0.500], [0.000, 0.500, 0.500], [0.500, 0.000, 0.500], [0.500, 0.500, 0.000]], "dos_at_fermi_per_ev_atom": 0.75}

=====

The data favor (2); the next most stable structure lies 3094 meV/atom above it.